This record from Alexandria describes a relaxed structure of CsRb2Hg8. The functional is PBE-GGA.

a = 6.9396 Å, b = 7.2998 Å, c = 11.8621 Å
α = 126.35°, β = 122.00°, γ = 62.62°
Closest atoms and distances in Å follow each position.
Sites, in units of the cell vectors:
Cs  0.5000  0.0000  0.0000  12 Hg 3.76-4.19
Rb  0.6801  0.6894  0.3514  11 Hg 3.72-3.96
Rb  0.3199  0.3106  0.6486  11 Hg 3.72-3.96
Hg  0.1677  0.1795  0.2529  5 Hg 3.16-3.52
Hg  0.9540  0.1799  0.7243  5 Hg 3.11-3.35
Hg  0.8353  0.3633  0.0122  4 Hg 3.16-3.29
Hg  0.6904  0.2782  0.4507  4 Hg 3.11-3.35
Hg  0.3096  0.7218  0.5493  4 Hg 3.11-3.35
Hg  0.1647  0.6367  0.9878  4 Hg 3.16-3.29
Hg  0.0460  0.8201  0.2757  5 Hg 3.11-3.35
Hg  0.8323  0.8205  0.7471  5 Hg 3.16-3.52

Results
As for the magnetization: 0.00 μB per atom. The final energy comes out at -0.706 eV/atom. Its space group is P-1 (2). Its volume is 36.45 A^3/atom. The calculation puts the formation energy at -0.233 eV per atom.